[1]
The following is a DFT calculation (PBEsol) of a relaxed TaAl4Se crystal.

* spin magnetization: 0.00 μB per cell
* uncorrected energy: -130.35 eV for the cell shown

abc: 7.320 7.320 7.320
angles: 90.00 90.00 90.00
Space group F-43m (No. 216)
Symmetry-distinct sites (fractional):
1 Ta 0.000 0.000 0.000 (multiplicity 4)
2 Al 0.126 0.126 0.374 (multiplicity 16)
3 Se 0.250 0.250 0.750 (multiplicity 4)

***

[2]
The following is a DFT calculation (PBEsol) of a relaxed ZrNi2P crystal.

* spin magnetization: 0.00 μB per cell
* uncorrected energy: -29.50 eV for the cell shown
* formation enthalpy at 0 K: -574.8 meV/atom

abc: 3.709 3.709 3.842
angles: 90.00 90.00 90.00
Space group P4/mmm (No. 123)
Symmetry-distinct sites (fractional):
1 Zr 0.000 0.000 0.000 (multiplicity 1)
2 Ni 0.000 0.500 0.500 (multiplicity 2)
3 P 0.500 0.500 0.000 (multiplicity 1)

***

[3]
The following is a DFT calculation (PBEsol) of a relaxed TlSn3B crystal.

* spin magnetization: 0.00 μB per cell
* uncorrected energy: -13.89 eV for the cell shown
* formation enthalpy at 0 K: 1706.6 meV/atom

abc: 5.597 5.597 5.597
angles: 90.00 90.00 90.00
Space group Pm-3m (No. 221)
Symmetry-distinct sites (fractional):
1 Tl 0.000 0.000 0.000 (multiplicity 1)
2 Sn 0.000 0.000 0.500 (multiplicity 3)
3 B 0.500 0.500 0.500 (multiplicity 1)

***

[4]
The following is a DFT calculation (PBEsol) of a relaxed Cs2AgSbS4 crystal.

* spin magnetization: 0.00 μB per cell
* uncorrected energy: -65.13 eV for the cell shown

abc: 6.889 7.248 10.853
angles: 73.94 76.09 72.33
Space group P-1 (No. 2)
Symmetry-distinct sites (fractional):
1 Cs 0.216 0.258 0.095 (multiplicity 2)
2 Cs 0.259 0.005 0.690 (multiplicity 2)
3 Ag 0.109 0.591 0.568 (multiplicity 2)
4 Sb 0.376 0.634 0.266 (multiplicity 2)
5 S 0.232 0.872 0.395 (multiplicity 2)
6 S 0.257 0.761 0.068 (multiplicity 2)
7 S 0.258 0.446 0.769 (multiplicity 2)
8 S 0.273 0.341 0.386 (multiplicity 2)

***

[5]
The following is a DFT calculation (PBEsol) of a relaxed TeMoPt2 crystal.

* spin magnetization: 0.00 μB per cell
* uncorrected energy: -56.62 eV for the cell shown

abc: 3.949 3.949 8.505
angles: 90.00 90.00 90.00
Space group I4/mmm (No. 139)
Symmetry-distinct sites (fractional):
1 Te 0.000 0.000 0.000 (multiplicity 2)
2 Mo 0.000 0.000 0.500 (multiplicity 2)
3 Pt 0.000 0.500 0.250 (multiplicity 4)

***

[6]
The following is a DFT calculation (PBEsol) of a relaxed YNOF2 crystal.

* spin magnetization: 4.07 μB per cell
* uncorrected energy: -31.25 eV for the cell shown
* energy above the most stable polymorph in this dataset: 0.000 eV per atom

abc: 4.335 4.335 4.533
angles: 90.00 90.00 90.00
Space group P4/mmm (No. 123)
Symmetry-distinct sites (fractional):
1 Y 0.000 0.000 0.000 (multiplicity 1)
2 N 0.500 0.500 0.500 (multiplicity 1)
3 O 0.000 0.000 0.500 (multiplicity 1)
4 F 0.000 0.500 0.000 (multiplicity 2)

***

[7]
The following is a DFT calculation (PBEsol) of a relaxed MnCdPt crystal.

* spin magnetization: 8.13 μB per cell
* uncorrected energy: -36.36 eV for the cell shown
* formation enthalpy at 0 K: -86.3 meV/atom

abc: 3.303 3.303 8.817
angles: 90.00 90.00 90.00
Space group I4mm (No. 107)
Symmetry-distinct sites (fractional):
1 Mn 0.000 0.000 0.000 (multiplicity 2)
2 Cd 0.000 0.000 0.321 (multiplicity 2)
3 Pt 0.000 0.000 0.641 (multiplicity 2)

***

[8]
The following is a DFT calculation (PBEsol) of a relaxed CrMo3 crystal.

* spin magnetization: 0.00 μB per cell
* uncorrected energy: -90.54 eV for the cell shown
* formation enthalpy at 0 K: 68.6 meV/atom

abc: 3.071 4.356 8.574
angles: 90.00 90.00 90.00
Space group Cmmm (No. 65)
Symmetry-distinct sites (fractional):
1 Cr 0.000 0.000 0.000 (multiplicity 2)
2 Mo 0.000 0.000 0.500 (multiplicity 2)
3 Mo 0.000 0.500 0.238 (multiplicity 4)

***

[9]
The following is a DFT calculation (PBEsol) of a relaxed K2BaSr crystal.

* spin magnetization: 0.00 μB per cell
* uncorrected energy: -5.98 eV for the cell shown
* formation enthalpy at 0 K: 69.5 meV/atom

abc: 4.248 4.248 13.693
angles: 90.00 90.00 90.00
Space group P4mm (No. 99)
Symmetry-distinct sites (fractional):
1 K 0.000 0.000 0.000 (multiplicity 1)
2 K 0.500 0.500 0.266 (multiplicity 1)
3 Ba 0.500 0.500 0.742 (multiplicity 1)
4 Sr 0.000 0.000 0.512 (multiplicity 1)

***

[10]
The following is a DFT calculation (PBEsol) of a relaxed SmBC crystal.

* spin magnetization: 0.00 μB per cell
* uncorrected energy: -461.43 eV for the cell shown
* formation enthalpy at 0 K: -439.7 meV/atom

abc: 8.178 8.223 12.141
angles: 90.00 90.00 90.00
Space group P2_12_12_1 (No. 19)
Symmetry-distinct sites (fractional):
1 Sm 0.046 0.097 0.138 (multiplicity 4)
2 Sm 0.064 0.701 0.638 (multiplicity 4)
3 Sm 0.154 0.593 0.906 (multiplicity 4)
4 Sm 0.162 0.991 0.418 (multiplicity 4)
5 Sm 0.246 0.288 0.671 (multiplicity 4)
6 B 0.017 0.892 0.958 (multiplicity 4)
7 B 0.064 0.293 0.320 (multiplicity 4)
8 B 0.098 0.983 0.737 (multiplicity 4)
9 B 0.117 0.399 0.213 (multiplicity 4)
10 B 0.185 0.304 0.989 (multiplicity 4)
11 C 0.027 0.301 0.440 (multiplicity 4)
12 C 0.056 0.889 0.838 (multiplicity 4)
13 C 0.146 0.400 0.090 (multiplicity 4)
14 C 0.150 0.996 0.621 (multiplicity 4)
15 C 0.242 0.299 0.875 (multiplicity 4)

***

[11]
The following is a DFT calculation (PBEsol) of a relaxed Zr crystal.

* spin magnetization: 0.00 μB per cell
* uncorrected energy: -18.03 eV for the cell shown
* energy above the most stable polymorph in this dataset: 0.074 eV per atom
* formation enthalpy at 0 K: 74.1 meV/atom

abc: 3.516 3.516 3.516
angles: 90.00 90.00 90.00
Space group Im-3m (No. 229)
Symmetry-distinct sites (fractional):
1 Zr 0.000 0.000 0.000 (multiplicity 2)

***

[12]
The following is a DFT calculation (PBEsol) of a relaxed FeTeO2F crystal.

* spin magnetization: 3.48 μB per cell
* uncorrected energy: -25.91 eV for the cell shown

abc: 4.149 4.149 4.405
angles: 90.00 90.00 90.00
Space group P4/mmm (No. 123)
Symmetry-distinct sites (fractional):
1 Fe 0.000 0.000 0.000 (multiplicity 1)
2 Te 0.500 0.500 0.500 (multiplicity 1)
3 O 0.000 0.500 0.500 (multiplicity 2)
4 F 0.500 0.500 0.000 (multiplicity 1)

***

[13]
The following is a DFT calculation (PBEsol) of a relaxed CrSnH3 crystal.

* spin magnetization: 2.77 μB per cell
* uncorrected energy: -22.95 eV for the cell shown
* energy above the most stable polymorph in this dataset: 0.000 eV per atom

abc: 3.605 3.605 3.605
angles: 90.00 90.00 90.00
Space group Pm-3m (No. 221)
Symmetry-distinct sites (fractional):
1 Cr 0.000 0.000 0.000 (multiplicity 1)
2 Sn 0.500 0.500 0.500 (multiplicity 1)
3 H 0.000 0.000 0.500 (multiplicity 3)

***

[14]
The following is a DFT calculation (PBEsol) of a relaxed Li3CaAs crystal.

* spin magnetization: 0.00 μB per cell
* uncorrected energy: -14.72 eV for the cell shown
* formation enthalpy at 0 K: -315.1 meV/atom

abc: 4.844 4.844 4.844
angles: 90.00 90.00 90.00
Space group Pm-3m (No. 221)
Symmetry-distinct sites (fractional):
1 Li 0.000 0.000 0.500 (multiplicity 3)
2 Ca 0.500 0.500 0.500 (multiplicity 1)
3 As 0.000 0.000 0.000 (multiplicity 1)

***

[15]
The following is a DFT calculation (PBEsol) of a relaxed NaLa2HfNb crystal.

* spin magnetization: 1.03 μB per cell
* uncorrected energy: -28.87 eV for the cell shown
* formation enthalpy at 0 K: 909.8 meV/atom

abc: 5.854 5.854 4.969
angles: 90.00 90.00 90.00
Space group P4/mmm (No. 123)
Symmetry-distinct sites (fractional):
1 Na 0.000 0.000 0.000 (multiplicity 1)
2 La 0.000 0.500 0.500 (multiplicity 2)
3 Hf 0.500 0.500 0.500 (multiplicity 1)
4 Nb 0.500 0.500 0.000 (multiplicity 1)

***

[16]
The following is a DFT calculation (PBEsol) of a relaxed ZnCoCl2 crystal.

* spin magnetization: 2.93 μB per cell
* uncorrected energy: -28.42 eV for the cell shown
* energy above the most stable polymorph in this dataset: 0.000 eV per atom

abc: 3.233 3.819 12.461
angles: 90.00 90.00 90.00
Space group Immm (No. 71)
Symmetry-distinct sites (fractional):
1 Zn 0.000 0.000 0.000 (multiplicity 2)
2 Co 0.000 0.000 0.500 (multiplicity 2)
3 Cl 0.000 0.500 0.138 (multiplicity 4)

***

[17]
The following is a DFT calculation (PBEsol) of a relaxed SbHSeN2 crystal.

* spin magnetization: 1.81 μB per cell
* uncorrected energy: -20.29 eV for the cell shown

abc: 3.944 3.944 5.585
angles: 90.00 90.00 90.00
Space group P4/mmm (No. 123)
Symmetry-distinct sites (fractional):
1 Sb 0.000 0.000 0.000 (multiplicity 1)
2 H 0.500 0.500 0.500 (multiplicity 1)
3 Se 0.000 0.000 0.500 (multiplicity 1)
4 N 0.000 0.500 0.000 (multiplicity 2)

***

[18]
The following is a DFT calculation (PBEsol) of a relaxed MgTcAu crystal.

* spin magnetization: 0.00 μB per cell
* uncorrected energy: -16.39 eV for the cell shown
* formation enthalpy at 0 K: 171.4 meV/atom

abc: 2.8129 2.8129 6.9553
angles: 90.00 90.00 120.00
Space group P3m1 (No. 156)
Symmetry-distinct sites (fractional):
1 Mg 0.0000 0.0000 0.0000 (multiplicity 1)
2 Tc 0.6667 0.3333 0.6706 (multiplicity 1)
3 Au 0.3333 0.6667 0.3364 (multiplicity 1)

***

[19]
The following is a DFT calculation (PBEsol) of a relaxed ReMo3 crystal.

* spin magnetization: 0.00 μB per cell
* uncorrected energy: -48.45 eV for the cell shown
* formation enthalpy at 0 K: 46.3 meV/atom

abc: 3.115 3.115 6.231
angles: 90.00 90.00 90.00
Space group P4/mmm (No. 123)
Symmetry-distinct sites (fractional):
1 Re 0.000 0.000 0.000 (multiplicity 1)
2 Mo 0.000 0.000 0.500 (multiplicity 1)
3 Mo 0.500 0.500 0.252 (multiplicity 2)

***

[20]
The following is a DFT calculation (PBEsol) of a relaxed Na3SiNi crystal.

* spin magnetization: 2.13 μB per cell
* uncorrected energy: -10.85 eV for the cell shown

abc: 5.428 5.428 5.428
angles: 90.00 90.00 90.00
Space group Pm-3m (No. 221)
Symmetry-distinct sites (fractional):
1 Na 0.000 0.000 0.500 (multiplicity 3)
2 Si 0.000 0.000 0.000 (multiplicity 1)
3 Ni 0.500 0.500 0.500 (multiplicity 1)